GGA+U RbMnGaO3, optimized geometry; SG = Cmcm (63); calculated volume = 14.2 Å³/atom; raw total energy = -72.7 eV for the cell shown
1.0
2.8380 -5.3633 0.0000
2.8380 5.3633 0.0000
0.0000 0.0000 5.6047
Rb Mn Ga O
2 2 2 6
Direct
0.2467 0.7533 0.7500
0.7533 0.2467 0.2500
0.0758 0.9242 0.2500
0.9242 0.0758 0.7500
0.4381 0.5619 0.2500
0.5619 0.4381 0.7500
0.2662 0.7338 0.2500
0.2676 0.2676 0.0000
0.2676 0.2676 0.5000
0.7324 0.7324 0.0000
0.7324 0.7324 0.5000
0.7338 0.2662 0.7500